1.
Entry from the Alexandria database: a relaxed structure of NiPN2 (PBE).

Uncorrected formation energy (meV per atom): -35
Size of the total moment (μB/f.u.): 0.00
E (eV/atom): -6.996
SG: No. 166

Structure (extended XYZ):
```
4
Lattice="1.397 -0.906 5.637 0.915 -3.382 4.720 3.310 -2.242 4.309" Properties=species:S:1:pos:R:3 pbc="T T T"
N 4.999 -5.807 13.042
N 0.623 -0.723 1.624
Ni 0.000 0.000 0.000
P 2.811 -3.265 7.333
```

---

2.
Entry from the Alexandria database: a relaxed structure of Te2IrI (PBE).

Uncorrected formation energy (meV per atom): 480
Size of the total moment (μB/f.u.): 0.00
E (eV/atom): -3.694
SG: No. 63
Polymorph energy (0 for the lowest one) (meV per atom): 661

Structure (extended XYZ):
```
8
Lattice="1.822 -10.639 0.000 1.822 10.639 0.000 0.000 0.000 5.876" Properties=species:S:1:pos:R:3 pbc="T T T"
I 1.822 -9.786 4.407
I 1.822 9.786 1.469
Te 1.822 7.589 4.407
Te 1.822 6.333 1.469
Te 1.822 -6.333 4.407
Te 1.822 -7.589 1.469
Ir 1.822 1.269 1.469
Ir 1.822 -1.269 4.407
```